VASP calculation (PBE) on a geometry-optimized BeMoOsS2 structure.

Results
total magnetic moment = 0.188 μB/atom
DOS(E_F) = 0.70 states/eV/atom
uncorrected formation energy = 1.264 eV per atom

Unit cell a=4.5273 b=4.9832 c=4.5273 alpha=90.00 beta=90.00 gamma=90.00
Atoms (fractional coordinates):
Be 0.5000 0.5000 0.5000
Mo 0.0000 0.0000 0.0000
Os 0.0000 0.5000 0.0000
S 0.0000 0.0000 0.5000
S 0.5000 0.0000 0.0000